# 1
# La3NdDy4 (PBE, optimized geometry)
data_La3NdDy4
_cell_length_a 6.3689
_cell_length_b 7.3534
_cell_length_c 11.7031
_cell_angle_alpha 90.00
_cell_angle_beta 90.00
_cell_angle_gamma 90.00
_space_group_name_H-M_alt 'P 1'
_space_group_IT_number 1
_space_group_name_Hall 'P 1'
loop_
_atom_site_label
_atom_site_fract_x
_atom_site_fract_y
_atom_site_fract_z
_atom_site_occupancy
La1 0.6483 0.6274 0.0000 1
La2 0.9794 0.6261 0.2493 1
La3 0.4794 0.3739 0.2507 1
La4 0.1483 0.3726 0.5000 1
La5 0.4794 0.3739 0.7493 1
La6 0.9794 0.6261 0.7507 1
Nd1 0.1491 0.3695 0.0000 1
Nd2 0.6491 0.6305 0.5000 1
Dy1 0.1485 0.8796 0.0000 1
Dy2 0.6500 0.1214 0.0000 1
Dy3 0.9803 0.1203 0.2495 1
Dy4 0.4803 0.8797 0.2505 1
Dy5 0.1500 0.8786 0.5000 1
Dy6 0.6485 0.1204 0.5000 1
Dy7 0.4803 0.8797 0.7495 1
Dy8 0.9803 0.1203 0.7505 1
# Symmetry   No. 31
# Size of the total moment   0.000 μB/atom
# Energy above the most stable polymorph in this dataset   0.0000 eV per atom
# Volume   548 Å³/cell
# Fermi-level density of states   28.4 states/eV/cell

---

# 2
# AgCl4 (PBE, optimized geometry)
data_AgCl4
_cell_length_a 6.7625
_cell_length_b 6.7625
_cell_length_c 8.7604
_cell_angle_alpha 88.87
_cell_angle_beta 88.87
_cell_angle_gamma 122.10
_space_group_name_H-M_alt 'P 1'
_space_group_IT_number 1
_space_group_name_Hall 'P 1'
loop_
_atom_site_label
_atom_site_fract_x
_atom_site_fract_y
_atom_site_fract_z
_atom_site_occupancy
Ag1 0.8355 0.1645 0.0000 1
Ag2 0.1645 0.8355 0.0000 1
Cl1 0.5710 0.5710 0.3921 1
Cl2 0.5396 0.8874 0.8453 1
Cl3 0.4604 0.1126 0.1547 1
Cl4 0.4290 0.4290 0.6079 1
Cl5 0.1126 0.4604 0.1547 1
Cl6 0.8598 0.8598 0.1780 1
Cl7 0.8874 0.5396 0.8453 1
Cl8 0.1402 0.1402 0.8220 1
# Symmetry   No. 12
# ΔE_f (raw)   -0.0824 eV per atom
# Size of the total moment   0.000 μB/atom
# Energy above the most stable polymorph in this dataset   0.0000 eV per atom
# Volume   339 Å³/cell
# Fermi-level density of states   7.2 states/eV/cell

---

# 3
# AsW3Br (PBE, optimized geometry)
data_AsW3Br
_cell_length_a 4.6923
_cell_length_b 4.6923
_cell_length_c 4.6923
_cell_angle_alpha 90.00
_cell_angle_beta 90.00
_cell_angle_gamma 90.00
_space_group_name_H-M_alt 'P 1'
_space_group_IT_number 1
_space_group_name_Hall 'P 1'
loop_
_atom_site_label
_atom_site_fract_x
_atom_site_fract_y
_atom_site_fract_z
_atom_site_occupancy
As1 0.0000 0.0000 0.0000 1
Br1 0.5000 0.5000 0.5000 1
W1 0.0000 0.5000 0.0000 1
W2 0.0000 0.0000 0.5000 1
W3 0.5000 0.0000 0.0000 1
# Symmetry   No. 221
# ΔE_f (raw)   2.0432 eV per atom
# Size of the total moment   0.000 μB/atom
# Energy above the most stable polymorph in this dataset   0.0000 eV per atom
# Volume   103 Å³/cell
# Fermi-level density of states   7.2 states/eV/cell

---

# 4
# NaRuRh (PBE, optimized geometry)
data_NaRuRh
_cell_length_a 2.7429
_cell_length_b 5.2701
_cell_length_c 6.8865
_cell_angle_alpha 101.25
_cell_angle_beta 90.08
_cell_angle_gamma 89.58
_space_group_name_H-M_alt 'P 1'
_space_group_IT_number 1
_space_group_name_Hall 'P 1'
loop_
_atom_site_label
_atom_site_fract_x
_atom_site_fract_y
_atom_site_fract_z
_atom_site_occupancy
Ru1 0.7554 0.9828 0.9161 1
Ru2 0.2588 0.7870 0.6110 1
Rh1 0.2616 0.5904 0.9693 1
Rh2 0.7572 0.8170 0.2956 1
Na1 0.2512 0.3038 0.2622 1
Na2 0.7632 0.2936 0.6304 1
# Symmetry   No. 1
# Size of the total moment   0.000 μB/atom
# Energy above the most stable polymorph in this dataset   0.1334 eV per atom
# Volume   98 Å³/cell
# Fermi-level density of states   8.1 states/eV/cell

---

# 5
# LaPrPbSe (PBE, optimized geometry)
data_LaPrPbSe
_cell_length_a 4.5033
_cell_length_b 4.5059
_cell_length_c 6.3201
_cell_angle_alpha 90.00
_cell_angle_beta 90.00
_cell_angle_gamma 90.00
_space_group_name_H-M_alt 'P 1'
_space_group_IT_number 1
_space_group_name_Hall 'P 1'
loop_
_atom_site_label
_atom_site_fract_x
_atom_site_fract_y
_atom_site_fract_z
_atom_site_occupancy
La1 0.5000 0.3913 0.0926 1
Pr1 0.0000 0.8918 0.5923 1
Pb1 0.0000 0.8914 0.0923 1
Se1 0.5000 0.3916 0.5926 1
# Symmetry   No. 123
# ΔE_f (raw)   -1.2180 eV per atom
# Size of the total moment   0.000 μB/atom
# Volume   128 Å³/cell
# Fermi-level density of states   1.2 states/eV/cell

---

# 6
# NpGeTe3 (PBE, optimized geometry)
data_NpGeTe3
_cell_length_a 4.1576
_cell_length_b 8.7126
_cell_length_c 16.0080
_cell_angle_alpha 90.00
_cell_angle_beta 90.00
_cell_angle_gamma 90.00
_space_group_name_H-M_alt 'P 1'
_space_group_IT_number 1
_space_group_name_Hall 'P 1'
loop_
_atom_site_label
_atom_site_fract_x
_atom_site_fract_y
_atom_site_fract_z
_atom_site_occupancy
Np1 0.7500 0.8679 0.8006 1
Np2 0.2500 0.1321 0.1994 1
Np3 0.7500 0.3679 0.6994 1
Np4 0.2500 0.6321 0.3006 1
Ge1 0.2500 0.3266 0.9491 1
Ge2 0.2500 0.8266 0.5509 1
Ge3 0.7500 0.1734 0.4491 1
Ge4 0.7500 0.6734 0.0509 1
Te1 0.2500 0.3527 0.5537 1
Te2 0.7500 0.8442 0.2067 1
Te3 0.7500 0.5149 0.8824 1
Te4 0.7500 0.0149 0.6176 1
Te5 0.7500 0.6473 0.4463 1
Te6 0.2500 0.9851 0.3824 1
Te7 0.2500 0.8527 0.9463 1
Te8 0.7500 0.3442 0.2933 1
Te9 0.2500 0.6558 0.7067 1
Te10 0.2500 0.1558 0.7933 1
Te11 0.7500 0.1473 0.0537 1
Te12 0.2500 0.4851 0.1176 1
# Symmetry   No. 62
# ΔE_f (raw)   -0.3392 eV per atom
# Size of the total moment   0.692 μB/atom
# Energy above the most stable polymorph in this dataset   0.0000 eV per atom
# Volume   580 Å³/cell
# Fermi-level density of states   42.3 states/eV/cell